Entry 1:
# CaThSnPb | Alexandria via LeMat-Bulk | PBE | relaxed
data_CaThSnPb
_chemical_formula_sum 'Ca4 Th4 Sn4 Pb4'
_space_group_name_H-M_alt 'F -4 3 m'
_space_group_IT_number 216
_space_group_name_Hall 'F -4 2 3'
_cell_length_a 7.8099
_cell_length_b 7.8099
_cell_length_c 7.8099
_cell_angle_alpha 90.00
_cell_angle_beta 90.00
_cell_angle_gamma 90.00
loop_
_atom_site_label
_atom_site_type_symbol
_atom_site_fract_x
_atom_site_fract_y
_atom_site_fract_z
_atom_site_occupancy
Ca1 Ca 0.0000 0.0000 0.0000 1
Th1 Th 0.0000 0.0000 0.5000 1
Sn1 Sn 0.2500 0.2500 0.7500 1
Pb1 Pb 0.2500 0.2500 0.2500 1
# Fermi-level density of states: 3.59 states/eV/f.u.
# ΔH_f (0 K): -0.36 eV/atom
# energy: -4.645 eV/atom

***

Entry 2:
# MgOsCl2 | Alexandria via LeMat-Bulk | PBE | relaxed
data_MgOsCl2
_chemical_formula_sum 'Mg2 Os2 Cl4'
_space_group_name_H-M_alt 'I m m 2'
_space_group_IT_number 44
_cell_length_a 3.0853
_cell_length_b 7.1550
_cell_length_c 9.3694
_cell_angle_alpha 90.00
_cell_angle_beta 90.00
_cell_angle_gamma 90.00
loop_
_space_group_symop_operation_xyz
'x,y,z'
'-x,-y,z'
'-x,y,z'
'x,-y,z'
'x+1/2,y+1/2,z+1/2'
'-x+1/2,-y+1/2,z+1/2'
'-x+1/2,y+1/2,z+1/2'
'x+1/2,-y+1/2,z+1/2'
loop_
_atom_site_label
_atom_site_type_symbol
_atom_site_fract_x
_atom_site_fract_y
_atom_site_fract_z
_atom_site_occupancy
Mg1 Mg 0.0000 0.0000 0.0000 1
Os1 Os 0.0000 0.5000 0.2506 1
Cl1 Cl 0.0000 0.0000 0.5647 1
Cl2 Cl 0.0000 0.5000 0.6932 1
# excess energy over the best structure of this formula in the dataset: 147 kJ/mol of formula units
# Fermi-level density of states: 1.74 states/eV/f.u.
# energy: -3.965 eV/atom
# ΔE_f (raw): 0.16 eV per atom

***

Entry 3:
# AlPdO2 | Alexandria via LeMat-Bulk | PBE | relaxed
data_AlPdO2
_chemical_formula_sum 'Al1 Pd1 O2'
_space_group_name_H-M_alt 'P 3 m 1'
_space_group_IT_number 156
_cell_length_a 3.0456
_cell_length_b 3.0456
_cell_length_c 6.7622
_cell_angle_alpha 90.00
_cell_angle_beta 90.00
_cell_angle_gamma 120.00
loop_
_space_group_symop_operation_xyz
'x,y,z'
'-y,x-y,z'
'-x+y,-x,z'
'-y,-x,z'
'-x+y,y,z'
'x,x-y,z'
loop_
_atom_site_label
_atom_site_type_symbol
_atom_site_fract_x
_atom_site_fract_y
_atom_site_fract_z
_atom_site_occupancy
Al1 Al 0.0000 0.0000 0.0000 1
Pd1 Pd 0.6667 0.3333 0.4495 1
O1 O 0.0000 0.0000 0.2571 1
O2 O 0.3333 0.6667 0.9261 1
# Fermi-level density of states: 0.76 states/eV/f.u.
# energy: -6.125 eV/atom
# ΔE_f (raw): -1.41 eV per atom

***

Entry 4:
# TiAsAu | Alexandria via LeMat-Bulk | PBE | relaxed
data_TiAsAu
_chemical_formula_sum 'Ti4 As4 Au4'
_space_group_name_H-M_alt 'C 1 2/m 1'
_space_group_IT_number 12
_cell_length_a 8.3329
_cell_length_b 3.9948
_cell_length_c 7.2831
_cell_angle_alpha 90.00
_cell_angle_beta 107.17
_cell_angle_gamma 90.00
loop_
_space_group_symop_operation_xyz
'x,y,z'
'-x,-y,-z'
'-x,y,-z'
'x,-y,z'
'x+1/2,y+1/2,z'
'-x+1/2,-y+1/2,-z'
'-x+1/2,y+1/2,-z'
'x+1/2,-y+1/2,z'
loop_
_atom_site_label
_atom_site_type_symbol
_atom_site_fract_x
_atom_site_fract_y
_atom_site_fract_z
_atom_site_occupancy
Ti1 Ti 0.2376 0.0000 0.2989 1
As1 As 0.0662 0.5000 0.3471 1
Au1 Au 0.1272 0.0000 0.8984 1
# Fermi-level density of states: 1.92 states/eV/f.u.
# ΔH_f (0 K): -0.36 eV/atom
# energy: -5.635 eV/atom

***

Entry 5:
# BeFeN | Alexandria via LeMat-Bulk | PBE | relaxed
data_BeFeN
_chemical_formula_sum 'Be2 Fe2 N2'
_space_group_name_H-M_alt 'I 4 m m'
_space_group_IT_number 107
_space_group_name_Hall 'I 4 -2'
_cell_length_a 2.4800
_cell_length_b 2.4800
_cell_length_c 7.8870
_cell_angle_alpha 90.00
_cell_angle_beta 90.00
_cell_angle_gamma 90.00
loop_
_atom_site_label
_atom_site_type_symbol
_atom_site_fract_x
_atom_site_fract_y
_atom_site_fract_z
_atom_site_occupancy
Be1 Be 0.0000 0.0000 0.0000 1
Fe1 Fe 0.0000 0.0000 0.7140 1
N1 N 0.0000 0.0000 0.3234 1
# excess energy over the best structure of this formula in the dataset: 103 kJ/mol of formula units
# Fermi-level density of states: 1.26 states/eV/f.u.
# energy: -6.601 eV/atom
# ΔE_f (raw): 0.24 eV per atom

***

Entry 6:
# CrTcW2 | Alexandria via LeMat-Bulk | PBE | relaxed
data_CrTcW2
_chemical_formula_sum 'Cr1 Tc1 W2'
_space_group_name_H-M_alt 'P 1 2/m 1'
_space_group_IT_number 10
_cell_length_a 2.7095
_cell_length_b 4.3178
_cell_length_c 5.1386
_cell_angle_alpha 90.00
_cell_angle_beta 99.99
_cell_angle_gamma 90.00
loop_
_space_group_symop_operation_xyz
'x,y,z'
'-x,-y,-z'
'-x,y,-z'
'x,-y,z'
loop_
_atom_site_label
_atom_site_type_symbol
_atom_site_fract_x
_atom_site_fract_y
_atom_site_fract_z
_atom_site_occupancy
Cr1 Cr 0.0000 0.0000 0.0000 1
Tc1 Tc 0.5000 0.0000 0.5000 1
W1 W 0.2431 0.5000 0.7551 1
# excess energy over the best structure of this formula in the dataset: 29 kJ/mol of formula units
# Fermi-level density of states: 3.68 states/eV/f.u.
# ΔH_f (0 K): 0.09 eV/atom
# energy: -11.381 eV/atom

***

Entry 7:
# Rb2CuTeSe4 | Alexandria via LeMat-Bulk | PBE | relaxed
data_Rb2CuTeSe4
_chemical_formula_sum 'Rb16 Cu8 Te8 Se32'
_space_group_name_H-M_alt 'F d d d'
_space_group_IT_number 70
_cell_length_a 5.8703
_cell_length_b 15.0637
_cell_length_c 22.4841
_cell_angle_alpha 90.00
_cell_angle_beta 90.00
_cell_angle_gamma 90.00
loop_
_space_group_symop_operation_xyz
'x,y,z'
'-x,-y,-z'
'-x+1/4,-y+1/4,z'
'x+1/4,y+1/4,-z'
'x,-y+1/4,-z+1/4'
'-x,y+1/4,z+1/4'
'-x+1/4,y,-z+1/4'
'x+1/4,-y,z+1/4'
'x,y+1/2,z+1/2'
'-x,-y+1/2,-z+1/2'
'-x+1/4,-y+3/4,z+1/2'
'x+1/4,y+3/4,-z+1/2'
'x,-y+3/4,-z+3/4'
'-x,y+3/4,z+3/4'
'-x+1/4,y+1/2,-z+3/4'
'x+1/4,-y+1/2,z+3/4'
'x+1/2,y,z+1/2'
'-x+1/2,-y,-z+1/2'
'-x+3/4,-y+1/4,z+1/2'
'x+3/4,y+1/4,-z+1/2'
'x+1/2,-y+1/4,-z+3/4'
'-x+1/2,y+1/4,z+3/4'
'-x+3/4,y,-z+3/4'
'x+3/4,-y,z+3/4'
'x+1/2,y+1/2,z'
'-x+1/2,-y+1/2,-z'
'-x+3/4,-y+3/4,z'
'x+3/4,y+3/4,-z'
'x+1/2,-y+3/4,-z+1/4'
'-x+1/2,y+3/4,z+1/4'
'-x+3/4,y+1/2,-z+1/4'
'x+3/4,-y+1/2,z+1/4'
loop_
_atom_site_label
_atom_site_type_symbol
_atom_site_fract_x
_atom_site_fract_y
_atom_site_fract_z
_atom_site_occupancy
Rb1 Rb 0.1250 0.1250 0.3141 1
Cu1 Cu 0.1250 0.1250 0.6250 1
Te1 Te 0.1250 0.1250 0.1250 1
Se1 Se 0.1065 0.2738 0.8040 1
# Fermi-level density of states: 1.74 states/eV/f.u.
# energy: -3.376 eV/atom
# ΔE_f (raw): -0.49 eV per atom

***

Entry 8:
# LiGe3O | Alexandria via LeMat-Bulk | PBE | relaxed
data_LiGe3O
_chemical_formula_sum 'Li1 Ge3 O1'
_space_group_name_H-M_alt 'P m -3 m'
_space_group_IT_number 221
_space_group_name_Hall '-P 4 2 3'
_cell_length_a 4.4419
_cell_length_b 4.4419
_cell_length_c 4.4419
_cell_angle_alpha 90.00
_cell_angle_beta 90.00
_cell_angle_gamma 90.00
loop_
_atom_site_label
_atom_site_type_symbol
_atom_site_fract_x
_atom_site_fract_y
_atom_site_fract_z
_atom_site_occupancy
Li1 Li 0.0000 0.0000 0.0000 1
Ge1 Ge 0.0000 0.0000 0.5000 1
O1 O 0.5000 0.5000 0.5000 1
# excess energy over the best structure of this formula in the dataset: 360 kJ/mol of formula units
# Fermi-level density of states: 2.06 states/eV/f.u.
# energy: -3.486 eV/atom
# ΔE_f (raw): 0.66 eV per atom

***

Computed spin magnetization, in the same sequence as the records: 0.00 0.50 0.26 0.00 0.00 0.00 0.00 0.00 μB per atom.